Arrangement 1

A plane-wave DFT calculation with PBE-GGA was carried out for a relaxed Ba3Zn2Pd4 crystal.

**M_tot**: 0.00 μB/cell
**N(E_F)**: 0.768 states/eV/atom

abc: 4.5391 4.5391 27.8857
angles: 90.00 90.00 120.00
Space group P-6m2 (No. 187)
Asymmetric unit:
Ba (0.0000, 0.0000, 0.0790) x2
Ba (0.0000, 0.0000, 0.2494) x2
Ba (0.0000, 0.0000, 0.4056) x2
Zn (0.3333, 0.6667, 0.5000) x1
Zn (0.6667, 0.3333, 0.1640) x2
Zn (0.6667, 0.3333, 0.5000) x1
Pd (0.3333, 0.6667, 0.0000) x1
Pd (0.3333, 0.6667, 0.1641) x2
Pd (0.3333, 0.6667, 0.3285) x2
Pd (0.6667, 0.3333, 0.0000) x1
Pd (0.6667, 0.3333, 0.3281) x2


Arrangement 2

A plane-wave DFT calculation with PBE-GGA was carried out for a relaxed Ba3Zn2Pd4 crystal.

**M_tot**: 0.00 μB/cell
**N(E_F)**: 0.359 states/eV/atom

abc: 12.0753 4.5145 9.4398
angles: 90.00 111.10 90.00
Space group C2/m (No. 12)
Asymmetric unit:
Ba (0.0000, 0.0000, 0.0000) x2
Ba (0.1223, 0.5000, 0.6892) x4
Zn (0.1631, 0.5000, 0.3025) x4
Pd (0.1603, 0.0000, 0.4309) x4
Pd (0.2226, 0.5000, 0.0666) x4


Q: Which of them is the most stable? A: arrangement 2.


Arrangement 1

A plane-wave DFT calculation with PBE-GGA was carried out for a relaxed Ba3Zn3Pd2 crystal.

**M_tot**: 0.00 μB/cell
**N(E_F)**: 0.550 states/eV/atom

abc: 8.6455 16.4033 6.3604
angles: 90.00 90.00 90.00
Space group Pnma (No. 62)
Asymmetric unit:
Ba (0.0449, 0.1035, 0.1227) x8
Ba (0.1905, 0.2500, 0.6181) x4
Zn (0.1594, 0.7500, 0.5846) x4
Zn (0.1694, 0.0389, 0.6099) x8
Pd (0.1181, 0.5973, 0.3810) x8


Arrangement 2

A plane-wave DFT calculation with PBE-GGA was carried out for a relaxed Ba3Zn3Pd2 crystal.

**M_tot**: 0.00 μB/cell
**N(E_F)**: 0.628 states/eV/atom

abc: 4.5246 12.0255 16.6802
angles: 90.00 90.00 90.00
Space group Cmcm (No. 63)
Asymmetric unit:
Ba (0.0000, 0.0663, 0.1028) x8
Ba (0.0000, 0.3586, 0.2500) x4
Zn (0.0000, 0.3313, 0.0360) x8
Zn (0.0000, 0.3392, 0.7500) x4
Pd (0.0000, 0.2271, 0.6082) x8


Q: Which of them is the most stable? A: arrangement 2.


Arrangement 1

A plane-wave DFT calculation with PBE-GGA was carried out for a relaxed BaZnPd4 crystal.

**M_tot**: 0.00 μB/cell
**N(E_F)**: 0.365 states/eV/atom

abc: 7.8195 4.1257 7.3398
angles: 90.00 90.00 90.00
Space group Pmma (No. 51)
Asymmetric unit:
Ba (0.2500, 0.0000, 0.1409) x2
Zn (0.2500, 0.0000, 0.7089) x2
Pd (0.0000, 0.0000, 0.5000) x2
Pd (0.0615, 0.5000, 0.7933) x4
Pd (0.2500, 0.5000, 0.4675) x2


Arrangement 2

A plane-wave DFT calculation with PBE-GGA was carried out for a relaxed BaZnPd4 crystal.

**M_tot**: 0.00 μB/cell
**N(E_F)**: 1.026 states/eV/atom

abc: 7.8028 7.8028 7.8028
angles: 90.00 90.00 90.00
Space group F-43m (No. 216)
Asymmetric unit:
Ba (0.0000, 0.0000, 0.0000) x4
Zn (0.2500, 0.2500, 0.7500) x4
Pd (0.1241, 0.1241, 0.3759) x16


Q: Which of them is the most stable? A: arrangement 1.


Arrangement 1

A plane-wave DFT calculation with PBE-GGA was carried out for a relaxed BaZn3Pd3 crystal.

**M_tot**: 0.00 μB/cell
**N(E_F)**: 0.479 states/eV/atom

abc: 6.9527 6.9527 6.9527
angles: 90.00 90.00 90.00
Space group Pm-3n (No. 223)
Asymmetric unit:
Ba (0.0000, 0.0000, 0.0000) x2
Zn (0.0000, 0.2500, 0.5000) x6
Pd (0.0000, 0.5000, 0.2500) x6


Arrangement 2

A plane-wave DFT calculation with PBE-GGA was carried out for a relaxed BaZn3Pd3 crystal.

**M_tot**: 0.00 μB/cell
**N(E_F)**: 0.368 states/eV/atom

abc: 6.7615 6.7615 22.1954
angles: 90.00 90.00 120.00
Space group R-3 (No. 148, hexagonal axes)
Asymmetric unit:
Ba (0.0000, 0.0000, 0.1636) x6
Zn (0.0351, 0.6029, 0.3688) x18
Pd (0.0118, 0.7714, 0.5861) x18


Q: Which of them is the most stable? A: arrangement 2.